Compound: MgBeZnSi
Source: OQMD
Functional: PBE
Structure: relaxed

Uncorrected energy = -2.59 eV/atom

a = 6.2196 Å, b = 6.2196 Å, c = 6.2196 Å
α = 90.00°, β = 90.00°, γ = 90.00°
Space group F-43m (No. 216)
Unique sites:
Mg: 0.0000 0.0000 0.0000 x4
Be: 0.2500 0.2500 0.7500 x4
Zn: 0.0000 0.0000 0.5000 x4
Si: 0.2500 0.2500 0.2500 x4